The following is a DFT calculation (SCAN) of a crystal of SiMoAu2 relaxed with PBEsol.

Computed properties:
Formation energy from raw total energies   0.20 eV/atom
Total magnetization   0.9 μB per formula unit

Cell: 3.7990 3.7990 4.3305 Å, 90.00 90.00 90.00°
With the nearest neighbours (Å) after each atom.
Space group P4/mmm (No. 123)
Symmetry-distinct sites (fractional):
1 Si 0.0000 0.0000 0.0000  4 Mo 2.69, 8 Au 2.88
2 Mo 0.5000 0.5000 0.0000  4 Si 2.69, 8 Au 2.88
3 Au 0.0000 0.5000 0.5000  4 Au 2.69, 4 Mo 2.88, 4 Si 2.88